1.
KScSe2F after structural relaxation. Source: Alexandria via LeMat-Bulk, functional PBE-GGA.

Lattice parameters (Å, degrees): 5.3624 5.3624 4.1725 90.00 90.00 90.00
Closest atoms and distances in Å follow each position.
Sites, in units of the cell vectors:
Sc 0.0000 0.0000 0.0000  2 F 2.09
K 0.5000 0.5000 0.5000  8 Se 3.40, 4 F 3.79
Se 0.0000 0.5000 0.0000  2 Sc 2.68
Se 0.5000 0.0000 0.0000  2 Sc 2.68
F 0.0000 0.0000 0.5000  2 Sc 2.09

Computed properties:
Formation energy from raw total energies = -9.30 eV per formula unit
Size of the total moment = 0.29 μB/f.u.


2.
ReBi3Ru after structural relaxation. Source: Alexandria via LeMat-Bulk, functional PBE-GGA.

Lattice parameters (Å, degrees): 5.2173 5.2173 5.2173 90.00 90.00 90.00
Closest atoms and distances in Å follow each position.
Sites, in units of the cell vectors:
Re 0.5000 0.5000 0.5000  12 Bi 3.69
Bi 0.0000 0.5000 0.0000  2 Ru 2.61
Bi 0.0000 0.0000 0.5000  2 Ru 2.61
Bi 0.5000 0.0000 0.0000  2 Ru 2.61
Ru 0.0000 0.0000 0.0000  6 Bi 2.61

Computed properties:
Formation energy = 1429 meV per atom
Size of the total moment = 2.94 μB/f.u.
Energy above the most stable polymorph in this dataset = 0 meV per atom


3.
Na3BePd3O8 after structural relaxation. Source: Alexandria via LeMat-Bulk, functional PBE-GGA.

Lattice parameters (Å, degrees): 6.0535 6.0552 6.4816 117.88 90.00 119.99
Closest atoms and distances in Å follow each position.
Sites, in units of the cell vectors:
Na 0.0000 0.0000 0.0000  6 O 2.36-2.41
Na 0.0000 0.5000 0.0000  6 O 2.36-2.41
Na 0.5000 0.5000 0.0000  6 O 2.36-2.41
Be 0.0000 0.0000 0.5000  6 O 1.91-1.92
Pd 0.5000 0.0000 0.5000  6 O 2.07-2.09
Pd 0.5000 0.5000 0.5000  6 O 2.07-2.08
Pd 0.0000 0.5000 0.5000  6 O 2.07-2.08
O 0.2636 0.5272 0.2915  3 Pd 2.08-2.09
O 0.7364 0.4728 0.7085  3 Pd 2.08-2.09
O 0.7831 0.5661 0.3157  1 Be 1.92, 2 Pd 2.07
O 0.2169 0.4339 0.6843  1 Be 1.92, 2 Pd 2.07
O 0.7838 0.0322 0.3162  1 Be 1.91, 2 Pd 2.07
O 0.2162 0.9678 0.6838  1 Be 1.91, 2 Pd 2.07
O 0.2485 0.0322 0.3162  1 Be 1.91, 2 Pd 2.07
O 0.7515 0.9678 0.6838  1 Be 1.91, 2 Pd 2.07

Computed properties:
Formation energy from raw total energies = -14.99 eV per formula unit
Size of the total moment = 0.64 μB/f.u.


4.
Ba2Li12Ag5 after structural relaxation. Source: Alexandria via LeMat-Bulk, functional PBE-GGA.

Lattice parameters (Å, degrees): 7.5413 7.5413 7.5413 84.17 84.17 84.17
Closest atoms and distances in Å follow each position.
Sites, in units of the cell vectors:
Ba 0.6613 0.6613 0.6613  4 Ag 3.44-3.82, 12 Li 3.49-3.81
Ba 0.3387 0.3387 0.3387  4 Ag 3.44-3.82, 12 Li 3.49-3.81
Li 0.2642 0.7358 0.0000  4 Li 2.67-2.94, 2 Ag 2.80
Li 0.7358 0.0000 0.2642  4 Li 2.67-2.94, 2 Ag 2.80
Li 0.0000 0.2642 0.7358  4 Li 2.67-2.94, 2 Ag 2.80
Li 0.7358 0.2642 0.0000  4 Li 2.67-2.94, 2 Ag 2.80
Li 0.2642 0.0000 0.7358  4 Li 2.67-2.94, 2 Ag 2.80
Li 0.0000 0.7358 0.2642  4 Li 2.67-2.94, 2 Ag 2.80
Li 0.3329 0.3329 0.8769  3 Ag 2.81-2.91, 2 Li 2.94
Li 0.3329 0.8769 0.3329  3 Ag 2.81-2.91, 2 Li 2.94
Li 0.8769 0.3329 0.3329  3 Ag 2.81-2.91, 2 Li 2.94
Li 0.6671 0.1231 0.6671  3 Ag 2.81-2.91, 2 Li 2.94
Li 0.6671 0.6671 0.1231  3 Ag 2.81-2.91, 2 Li 2.94
Li 0.1231 0.6671 0.6671  3 Ag 2.81-2.91, 2 Li 2.94
Ag 0.0000 0.0000 0.5000  8 Li 2.80-2.81, 2 Ag 3.08
Ag 0.0000 0.5000 0.0000  8 Li 2.80-2.81, 2 Ag 3.08
Ag 0.5000 0.0000 0.0000  8 Li 2.80-2.81, 2 Ag 3.08
Ag 0.9012 0.9012 0.9012  4 Ag 2.83-3.08, 9 Li 2.91-3.02
Ag 0.0988 0.0988 0.0988  4 Ag 2.83-3.08, 9 Li 2.91-3.02

Computed properties:
Formation energy = -115 meV per atom
Size of the total moment = 0.00 μB/f.u.


5.
Pu2CuGe after structural relaxation. Source: Alexandria via LeMat-Bulk, functional PBE-GGA.

Lattice parameters (Å, degrees): 3.8428 3.8428 5.6196 90.00 90.00 90.00
Closest atoms and distances in Å follow each position.
Sites, in units of the cell vectors:
Ge 0.5000 0.5000 0.5000  2 Cu 2.81, 8 Pu 3.05
Cu 0.5000 0.5000 0.0000  2 Ge 2.81, 8 Pu 3.07
Pu 0.0000 0.0000 0.7463  2 Pu 2.77-2.85, 4 Ge 3.05, 4 Cu 3.07
Pu 0.0000 0.0000 0.2537  2 Pu 2.77-2.85, 4 Ge 3.05, 4 Cu 3.07

Computed properties:
Formation energy = -185 meV per atom
Size of the total moment = 11.14 μB/f.u.


6.
Pr4SmTl5 after structural relaxation. Source: Alexandria via LeMat-Bulk, functional PBE-GGA.

Lattice parameters (Å, degrees): 3.9050 3.9050 19.7291 90.00 90.00 90.00
Closest atoms and distances in Å follow each position.
Sites, in units of the cell vectors:
Pr 0.0000 0.0000 0.1971  8 Tl 3.40-3.41
Pr 0.0000 0.0000 0.3991  8 Tl 3.40-3.41
Pr 0.0000 0.0000 0.6009  8 Tl 3.40-3.41
Pr 0.0000 0.0000 0.8029  8 Tl 3.40-3.41
Sm 0.0000 0.0000 0.0000  8 Tl 3.34
Tl 0.5000 0.5000 0.0956  4 Sm 3.34, 4 Pr 3.41
Tl 0.5000 0.5000 0.2981  8 Pr 3.40-3.41
Tl 0.5000 0.5000 0.5000  8 Pr 3.40
Tl 0.5000 0.5000 0.7019  8 Pr 3.40-3.41
Tl 0.5000 0.5000 0.9044  4 Sm 3.34, 4 Pr 3.41

Computed properties:
Formation energy = -392 meV per atom
Size of the total moment = 0.00 μB/f.u.


7.
BaZnP2 after structural relaxation. Source: Alexandria via LeMat-Bulk, functional PBE-GGA.

Lattice parameters (Å, degrees): 4.0210 4.0684 6.3418 71.19 90.00 90.00
Closest atoms and distances in Å follow each position.
Sites, in units of the cell vectors:
Ba 0.5000 0.7924 0.7916  7 P 3.24-3.43
P 0.0000 0.1533 0.0675  2 P 2.30
P 0.5000 0.0611 0.2519  2 P 2.30
Zn 0.0000 0.4932 0.3890  6 P 2.80-2.98

Computed properties:
Formation energy = -300 meV per atom
Size of the total moment = 0.00 μB/f.u.


8.
LaTcTe3 after structural relaxation. Source: Alexandria via LeMat-Bulk, functional PBE-GGA.

Lattice parameters (Å, degrees): 6.0812 6.0812 6.0812 90.00 90.00 90.00
Closest atoms and distances in Å follow each position.
Sites, in units of the cell vectors:
Te 0.0000 0.5000 0.0000  2 La 3.04
Te 0.0000 0.0000 0.5000  2 La 3.04
Te 0.5000 0.0000 0.0000  2 La 3.04
Tc 0.5000 0.5000 0.5000  12 Te 4.30
La 0.0000 0.0000 0.0000  6 Te 3.04

Computed properties:
Formation energy from raw total energies = 3.54 eV per formula unit
Size of the total moment = 4.63 μB/f.u.
Energy above the most stable polymorph in this dataset = 983 meV per atom


9.
ReTcAg4 after structural relaxation. Source: Alexandria via LeMat-Bulk, functional PBE-GGA.

Lattice parameters (Å, degrees): 5.2520 5.2520 5.2520 60.00 60.00 60.00
Closest atoms and distances in Å follow each position.
Sites, in units of the cell vectors:
Re 0.7500 0.7500 0.7500  12 Ag 3.08, 4 Tc 3.22
Tc 0.0000 0.0000 0.0000  12 Ag 3.08, 4 Re 3.22
Ag 0.8749 0.3750 0.3750  6 Ag 2.63
Ag 0.3750 0.3750 0.8749  6 Ag 2.63
Ag 0.3750 0.8749 0.3750  6 Ag 2.63
Ag 0.3750 0.3750 0.3750  6 Ag 2.63

Computed properties:
Formation energy = 985 meV per atom
Size of the total moment = 0.14 μB/f.u.


10.
FeTc2Au after structural relaxation. Source: Alexandria via LeMat-Bulk, functional PBE-GGA.

Lattice parameters (Å, degrees): 4.7381 4.7381 4.7375 131.49 131.49 71.04
Closest atoms and distances in Å follow each position.
Sites, in units of the cell vectors:
Au 0.5000 0.5000 0.0000  4 Fe 2.74, 8 Tc 2.74-2.75
Fe 0.2500 0.7500 0.5000  8 Tc 2.74-2.75, 4 Au 2.74
Tc 0.0001 0.0001 0.0000  4 Fe 2.74, 4 Tc 2.74, 4 Au 2.75
Tc 0.7500 0.2500 0.5000  4 Tc 2.74, 4 Au 2.74, 4 Fe 2.75

Computed properties:
Formation energy = 228 meV per atom
Size of the total moment = 2.52 μB/f.u.
Energy above the most stable polymorph in this dataset = 34 meV per atom


11.
La3PrSb4 after structural relaxation. Source: Alexandria via LeMat-Bulk, functional PBE-GGA.

Lattice parameters (Å, degrees): 4.6123 7.9819 7.9819 109.47 90.00 90.00
Closest atoms and distances in Å follow each position.
Sites, in units of the cell vectors:
La 0.0000 0.0000 0.5000  6 Sb 3.26
La 0.5000 0.5000 0.5000  6 Sb 3.27
La 0.0000 0.5000 0.0000  6 Sb 3.26
Pr 0.5000 0.0000 0.0000  6 Sb 3.25
Sb 0.0000 0.2484 0.2484  2 Pr 3.25, 4 La 3.26-3.27
Sb 0.5000 0.7509 0.2491  1 Pr 3.25, 5 La 3.26-3.27
Sb 0.0000 0.7516 0.7516  2 Pr 3.25, 4 La 3.26-3.27
Sb 0.5000 0.2491 0.7509  1 Pr 3.25, 5 La 3.26-3.27

Computed properties:
Formation energy from raw total energies = -10.05 eV per formula unit
Size of the total moment = 0.00 μB/f.u.


12.
Tl5Sn2Te4 after structural relaxation. Source: Alexandria via LeMat-Bulk, functional PBE-GGA.

Lattice parameters (Å, degrees): 4.5708 9.8437 9.9564 112.28 103.27 90.00
Closest atoms and distances in Å follow each position.
Sites, in units of the cell vectors:
Tl 0.8551 0.0183 0.7102  3 Te 3.22-3.29
Tl 0.1449 0.9817 0.2898  3 Te 3.22-3.29
Tl 0.7545 0.3703 0.5089  3 Te 3.21-3.39, 2 Tl 3.48
Tl 0.5000 0.0000 0.0000  2 Sn 3.42, 4 Tl 3.68, 4 Te 3.71
Tl 0.2455 0.6297 0.4911  3 Te 3.21-3.39, 2 Tl 3.48
Sn 0.4900 0.3396 0.9801  3 Te 3.03-3.11, 1 Sn 3.03
Sn 0.5100 0.6604 0.0199  3 Te 3.03-3.11, 1 Sn 3.03
Te 0.3160 0.2181 0.6320  1 Sn 3.11, 5 Tl 3.21-3.29
Te 0.0874 0.3174 0.1748  2 Sn 3.03
Te 0.6840 0.7819 0.3680  1 Sn 3.11, 5 Tl 3.21-3.29
Te 0.9126 0.6826 0.8252  2 Sn 3.03

Computed properties:
Formation energy from raw total energies = -2.11 eV per formula unit
Size of the total moment = 0.00 μB/f.u.


no.,electronic total energy (eV per atom)
1,-5.115
2,-5.244
3,-5.195
4,-2.277
5,-9.529
6,-3.959
7,-3.804
8,-4.236
9,-4.718
10,-7.890
11,-5.763
12,-3.137